(1)
First-principles (PBE) data for a geometry-optimized BaBi4Pb4 structure, as listed in Alexandria.

Cell lengths 7.242, 7.242, 12.338 Å; angles 90.00, 90.00, 90.00 degrees
Atoms (fractional coordinates):
Bi  0.000  0.273  0.720
Bi  0.227  0.500  0.220
Bi  0.500  0.773  0.780
Bi  0.500  0.227  0.780
Bi  0.273  0.000  0.280
Bi  0.773  0.500  0.220
Bi  0.000  0.727  0.720
Bi  0.727  0.000  0.280
Pb  0.500  0.780  0.070
Pb  0.220  0.500  0.930
Pb  0.000  0.720  0.430
Pb  0.780  0.500  0.930
Pb  0.280  0.000  0.570
Pb  0.000  0.280  0.430
Pb  0.720  0.000  0.570
Pb  0.500  0.220  0.070
Ba  0.500  0.500  0.500
Ba  0.000  0.000  0.000

Computed properties:
Total magnetic moment ... 0.000 μB per atom
Energy of formation ... -0.095 eV per atom
Density of states at the Fermi level ... 10.994 states/eV/cell
DFT total energy ... -66.27 eV per cell

---

(2)
First-principles (PBE) data for a geometry-optimized BaBi6Pb8 structure, as listed in Alexandria.

Cell lengths 9.448, 9.448, 9.084 Å; angles 58.67, 58.67, 60.00 degrees
Atoms (fractional coordinates):
Pb  0.564  0.211  0.341
Pb  0.884  0.564  0.341
Pb  0.335  0.335  0.996
Pb  0.116  0.436  0.659
Pb  0.436  0.789  0.659
Pb  0.789  0.116  0.659
Pb  0.665  0.665  0.004
Pb  0.211  0.884  0.341
Bi  0.931  0.280  0.216
Bi  0.280  0.573  0.216
Bi  0.427  0.069  0.784
Bi  0.720  0.427  0.784
Bi  0.573  0.931  0.216
Bi  0.069  0.720  0.784
Ba  0.000  0.000  0.000

Computed properties:
Total magnetic moment ... 0.000 μB per atom
Energy of formation ... -0.086 eV per atom
Density of states at the Fermi level ... 4.741 states/eV/cell
DFT total energy ... -56.16 eV per cell

---

(3)
First-principles (PBE) data for a geometry-optimized Ba6BiPb2 structure, as listed in Alexandria.

Cell lengths 8.124, 9.491, 12.273 Å; angles 90.00, 89.95, 90.00 degrees
Atoms (fractional coordinates):
Ba  0.367  0.557  0.742
Ba  0.161  0.320  0.078
Ba  0.826  0.678  0.563
Ba  0.839  0.680  0.922
Ba  0.633  0.443  0.258
Ba  0.674  0.178  0.937
Ba  0.133  0.057  0.758
Ba  0.867  0.943  0.242
Ba  0.661  0.180  0.578
Ba  0.174  0.322  0.437
Ba  0.326  0.822  0.063
Ba  0.339  0.820  0.422
Pb  0.461  0.097  0.242
Pb  0.539  0.903  0.758
Pb  0.039  0.597  0.258
Pb  0.961  0.403  0.742
Bi  0.000  0.000  0.500
Bi  0.500  0.500  0.000

Computed properties:
Total magnetic moment ... 0.105 μB per atom
Energy of formation ... -0.499 eV per atom
Density of states at the Fermi level ... 10.544 states/eV/cell
DFT total energy ... -54.66 eV per cell

---

(4)
First-principles (PBE) data for a geometry-optimized BaBiPb structure, as listed in Alexandria.

Cell lengths 4.721, 5.431, 5.431 Å; angles 120.00, 90.00, 90.00 degrees
Atoms (fractional coordinates):
Bi  0.167  0.333  0.667
Ba  0.667  0.667  0.333
Pb  0.166  0.000  0.000

Computed properties:
Total magnetic moment ... 0.000 μB per atom
ΔE to the lowest computed polymorph ... 0 meV/atom
Energy of formation ... -0.554 eV per atom
Density of states at the Fermi level ... 1.302 states/eV/cell
DFT total energy ... -11.17 eV per cell

---

What did the first record say?
First-principles (PBE) data for a geometry-optimized BaBi4Pb4 structure, as listed in Alexandria.

Cell lengths 7.242, 7.242, 12.338 Å; angles 90.00, 90.00, 90.00 degrees
Atoms (fractional coordinates):
Bi  0.000  0.273  0.720
Bi  0.227  0.500  0.220
Bi  0.500  0.773  0.780
Bi  0.500  0.227  0.780
Bi  0.273  0.000  0.280
Bi  0.773  0.500  0.220
Bi  0.000  0.727  0.720
Bi  0.727  0.000  0.280
Pb  0.500  0.780  0.070
Pb  0.220  0.500  0.930
Pb  0.000  0.720  0.430
Pb  0.780  0.500  0.930
Pb  0.280  0.000  0.570
Pb  0.000  0.280  0.430
Pb  0.720  0.000  0.570
Pb  0.500  0.220  0.070
Ba  0.500  0.500  0.500
Ba  0.000  0.000  0.000

Computed properties:
Total magnetic moment ... 0.000 μB per atom
Energy of formation ... -0.095 eV per atom
Density of states at the Fermi level ... 10.994 states/eV/cell
DFT total energy ... -66.27 eV per cell

---

Among the records above, which one has the highest energy of formation?
BaBi6Pb8

---

Which value of energy of formation does entry 4 give?
-0.554 eV per atom

---

density of states at the Fermi level of number 3 (Ba6BiPb2)?
10.544 states/eV/cell